Here is an optimized crystal structure of MnBe9Cu2 from Alexandria. Energies are from PBE.

Computed properties:
calculated total energy = -4.33 eV per atom
D(E_F) = 2.16 states/eV per cell
total moment = 0.00 μB per formula unit
ΔH_f (0 K) = -0.09 eV per atom
space group = No. 166
crystal system = trigonal

Cell lengths 4.195, 4.195, 7.193 Å; angles 73.04, 73.04, 60.00 degrees
Fractional coordinates of all 12 atoms:
Mn: 0.000 0.000 0.000
Be: 0.667 0.667 0.998
Be: 0.333 0.333 0.002
Be: 0.500 0.500 0.500
Be: 0.418 0.418 0.246
Be: 0.918 0.418 0.246
Be: 0.418 0.918 0.246
Be: 0.582 0.582 0.754
Be: 0.582 0.082 0.754
Be: 0.082 0.582 0.754
Cu: 0.857 0.857 0.430
Cu: 0.143 0.143 0.570